# 1
# Sc2CS | the Alexandria database | PBE | optimized geometry
data_Sc2CS
_symmetry_space_group_name_H-M 'P 1'
_symmetry_Int_Tables_number 1
_cell_length_a 6.1477
_cell_length_b 6.1477
_cell_length_c 6.1477
_cell_angle_alpha 90.00
_cell_angle_beta 90.00
_cell_angle_gamma 90.00
loop_
_symmetry_equiv_pos_as_xyz
'x,y,z'
loop_
_atom_site_label
_atom_site_type_symbol
_atom_site_fract_x
_atom_site_fract_y
_atom_site_fract_z
Sc1 Sc 0.2500 0.2500 0.2500
Sc2 Sc 0.2500 0.2500 0.7500
Sc3 Sc 0.2500 0.7500 0.2500
Sc4 Sc 0.2500 0.7500 0.7500
Sc5 Sc 0.7500 0.2500 0.2500
Sc6 Sc 0.7500 0.2500 0.7500
Sc7 Sc 0.7500 0.7500 0.2500
Sc8 Sc 0.7500 0.7500 0.7500
C1 C 0.0000 0.0000 0.0000
C2 C 0.0000 0.5000 0.5000
C3 C 0.5000 0.0000 0.5000
C4 C 0.5000 0.5000 0.0000
S1 S 0.0000 0.0000 0.5000
S2 S 0.0000 0.5000 0.0000
S3 S 0.5000 0.0000 0.0000
S4 S 0.5000 0.5000 0.5000
# SG ... Fm-3m
# E_form (uncorrected) ... -9.03 kcal/mol of atoms
# Crystal system ... cubic

=====

# 2
# Li2MgAs | the Alexandria database | PBE | optimized geometry
data_Li2MgAs
_symmetry_space_group_name_H-M 'P 1'
_symmetry_Int_Tables_number 1
_cell_length_a 4.0635
_cell_length_b 4.0635
_cell_length_c 18.5477
_cell_angle_alpha 90.00
_cell_angle_beta 90.00
_cell_angle_gamma 90.00
loop_
_symmetry_equiv_pos_as_xyz
'x,y,z'
loop_
_atom_site_label
_atom_site_type_symbol
_atom_site_fract_x
_atom_site_fract_y
_atom_site_fract_z
Li1 Li 0.1917 0.7500 0.1250
Li2 Li 0.2500 0.1917 0.8750
Li3 Li 0.2500 0.3083 0.3750
Li4 Li 0.3083 0.7500 0.6250
Li5 Li 0.6917 0.2500 0.6250
Li6 Li 0.7500 0.6917 0.3750
Li7 Li 0.7500 0.8083 0.8750
Li8 Li 0.8083 0.2500 0.1250
Mg1 Mg 0.0000 0.0000 0.5000
Mg2 Mg 0.0000 0.5000 0.7500
Mg3 Mg 0.5000 0.0000 0.2500
Mg4 Mg 0.5000 0.5000 0.0000
As1 As 0.0000 0.0000 0.0000
As2 As 0.0000 0.5000 0.2500
As3 As 0.5000 0.0000 0.7500
As4 As 0.5000 0.5000 0.5000
# SG ... I-42d
# Crystal system ... tetragonal
# E above lowest polymorph ... 291 meV/atom
# Formation energy from the elements ... -244 meV/atom

=====

| no. | final energy (eV per cell) |
| --- | --- |
| 1 | -110.3 |
| 2 | -44.2 |